<i>
Density functional theory data (PBE) for a relaxed structure of Er2PuZr.

POSCAR file:
```
Er2PuZr
1.0
3.351 0.000 0.000
0.000 3.351 0.000
0.000 0.000 9.796
Er Pu Zr
2 1 1
Direct
0.000 0.000 0.235
0.000 0.000 0.765
0.500 0.500 0.500
0.500 0.500 0.000
```

Results
symmetry = P4/mmm, No. 123
volume = 110 Å³/f.u.
M_tot = 6.41 μB/cell
crystal system = tetragonal
ρ = 10.1 g/cm³

***

<ii>
Density functional theory data (PBE) for a relaxed structure of Er2PuZr.

POSCAR file:
```
Er2PuZr
1.0
1.667 0.963 11.743
-1.667 0.963 11.743
0.000 -1.925 11.743
Er Pu Zr
2 1 1
Direct
0.092 0.092 0.092
0.908 0.908 0.908
0.000 0.000 0.000
0.500 0.500 0.500
```

Results
symmetry = R-3m, No. 166
volume = 113 Å³/f.u.
M_tot = 6.13 μB/cell
crystal system = trigonal
ρ = 9.8 g/cm³

***

The structure with the greatest stability is <i>.